# 1
VASP calculation (PBE-GGA) on BaCa3Zr after structural relaxation.

Computed properties:
Uncorrected energy (eV/atom): -2.746
Distance to the lowest polymorph of the same formula (eV per atom): 0.0000
Density of states at the Fermi level (states/eV per atom): 2.8977
SG: No. 221
Energy relative to the elements (meV per atom): 548.7

Cell: 5.9723 5.9723 5.9723 Å, 90.00 90.00 90.00°
Fractional positions:
Ca1 0.0000 0.5000 0.0000
Ca2 0.0000 0.0000 0.5000
Ca3 0.5000 0.0000 0.0000
Ba1 0.5000 0.5000 0.5000
Zr1 0.0000 0.0000 0.0000

# 2
VASP calculation (PBE-GGA) on BaCaZr after structural relaxation.

Computed properties:
Uncorrected energy (eV/atom): -3.597
Distance to the lowest polymorph of the same formula (eV per atom): 0.2148
Density of states at the Fermi level (states/eV per atom): 1.4933
SG: No. 44
Energy relative to the elements (meV per atom): 560.2

Cell: 6.5497 6.5497 6.5497 Å, 148.27 132.01 58.68°
Each line ends with the local moment (μB).
Fractional positions:
Ca1 0.3200 0.3200 0.0000  0.04
Ba1 0.0046 0.0046 0.0000  0.07
Zr1 0.6754 0.6754 0.0000  0.61

# 3
VASP calculation (PBE-GGA) on BaCaZr2 after structural relaxation.

Computed properties:
Uncorrected energy (eV/atom): -4.636
Distance to the lowest polymorph of the same formula (eV per atom): 0.3157
Density of states at the Fermi level (states/eV per atom): 1.3804
SG: No. 65
Energy relative to the elements (meV per atom): 619.3

Cell: 3.3240 3.3240 12.3503 Å, 90.00 90.00 116.69°
Fractional positions:
Ca1 0.5000 0.5000 0.7500
Ba1 0.5000 0.5000 0.2500
Zr1 0.0000 0.0000 0.9921
Zr2 0.0000 0.0000 0.5079

# 4
VASP calculation (PBE-GGA) on BaCaZr after structural relaxation.

Computed properties:
Uncorrected energy (eV/atom): -3.749
Distance to the lowest polymorph of the same formula (eV per atom): 0.0633
Density of states at the Fermi level (states/eV per atom): 1.0439
SG: No. 1
Energy relative to the elements (meV per atom): 408.8

Cell: 10.2829 3.5778 6.3998 Å, 75.12 79.55 81.04°
Each line ends with the local moment (μB).
Fractional positions:
Ca1 0.6974 0.9533 0.1430  0.04
Ca2 0.4075 0.6244 0.0843  0.03
Ba1 0.8750 0.5085 0.6085  0.02
Ba2 0.0886 0.3075 0.0699  0.00
Zr1 0.5228 0.2977 0.6011  0.37
Zr2 0.2838 0.9302 0.5732  0.08

# 5
VASP calculation (PBE-GGA) on Ba3Cd after structural relaxation.

Computed properties:
Uncorrected energy (eV/atom): -1.676
Distance to the lowest polymorph of the same formula (eV per atom): 0.1516
Density of states at the Fermi level (states/eV per atom): 1.7872
SG: No. 139
Energy relative to the elements (meV per atom): -4.9

Cell: 5.6060 5.6060 7.2766 Å, 112.66 112.66 90.00°
Fractional positions:
Ba1 0.7500 0.2500 0.5000
Ba2 0.2500 0.7500 0.5000
Ba3 0.5000 0.5000 0.0000
Cd1 0.0000 0.0000 0.0000

# 6
VASP calculation (PBE-GGA) on Ba3Cd after structural relaxation.

Computed properties:
Uncorrected energy (eV/atom): -1.711
Distance to the lowest polymorph of the same formula (eV per atom): 0.1164
Density of states at the Fermi level (states/eV per atom): 1.3373
SG: No. 25
Energy relative to the elements (meV per atom): -40.1

Cell: 4.9818 6.1896 6.1860 Å, 90.00 90.00 90.00°
Fractional positions:
Ba1 0.0000 0.0000 0.9161
Ba2 0.5000 0.0000 0.4164
Ba3 0.5000 0.5000 0.9166
Cd1 0.0000 0.5000 0.4176

# 7
VASP calculation (PBE-GGA) on BaCd2 after structural relaxation.

Computed properties:
Uncorrected energy (eV/atom): -1.490
Density of states at the Fermi level (states/eV per atom): 0.4974
SG: No. 139
Energy relative to the elements (meV per atom): -238.9

Cell: 6.4186 6.4186 6.4186 Å, 141.93 141.93 54.94°
Fractional positions:
Ba1 0.0000 0.0000 0.0000
Cd1 0.6874 0.6874 0.0000
Cd2 0.3126 0.3126 0.0000

# 8
VASP calculation (PBE-GGA) on Ba3Cd after structural relaxation.

Computed properties:
Uncorrected energy (eV/atom): -1.827
Distance to the lowest polymorph of the same formula (eV per atom): 0.0000
Density of states at the Fermi level (states/eV per atom): 1.4411
SG: No. 123
Energy relative to the elements (meV per atom): -156.5

Cell: 4.3309 4.3309 10.9941 Å, 90.00 90.00 90.00°
Fractional positions:
Ba1 0.0000 0.0000 0.5000
Ba2 0.5000 0.5000 0.1835
Ba3 0.5000 0.5000 0.8165
Cd1 0.0000 0.0000 0.0000

# 9
VASP calculation (PBE-GGA) on Ba5Cd24 after structural relaxation.

Computed properties:
Uncorrected energy (eV/atom): -1.260
Density of states at the Fermi level (states/eV per atom): 0.5121
SG: No. 217
Energy relative to the elements (meV per atom): -170.9

Cell: 10.1143 10.1143 10.1143 Å, 109.47 109.47 109.47°
Fractional positions:
Ba1 0.0000 0.6157 0.0000
Ba2 0.6157 0.0000 0.0000
Ba3 0.0000 0.0000 0.6157
Ba4 0.3843 0.3843 0.3843
Ba5 0.0000 0.0000 0.0000
Cd1 0.1936 0.3719 0.0000
Cd2 0.3719 0.1936 0.0000
Cd3 0.8064 0.8064 0.1783
Cd4 0.6281 0.6281 0.8217
Cd5 0.8064 0.1783 0.8064
Cd6 0.6281 0.8217 0.6281
Cd7 0.3719 0.0000 0.1936
Cd8 0.1936 0.0000 0.3719
Cd9 0.0000 0.3719 0.1936
Cd10 0.0000 0.1936 0.3719
Cd11 0.8217 0.6281 0.6281
Cd12 0.1783 0.8064 0.8064
Cd13 0.6610 0.3815 0.0000
Cd14 0.3815 0.6610 0.0000
Cd15 0.3390 0.3390 0.7205
Cd16 0.6185 0.6185 0.2795
Cd17 0.3390 0.7205 0.3390
Cd18 0.6185 0.2795 0.6185
Cd19 0.3815 0.0000 0.6610
Cd20 0.6610 0.0000 0.3815
Cd21 0.0000 0.3815 0.6610
Cd22 0.0000 0.6610 0.3815
Cd23 0.2795 0.6185 0.6185
Cd24 0.7205 0.3390 0.3390

# 10
VASP calculation (PBE-GGA) on Ba3Cd after structural relaxation.

Computed properties:
Uncorrected energy (eV/atom): -1.676
Distance to the lowest polymorph of the same formula (eV per atom): 0.1510
Density of states at the Fermi level (states/eV per atom): 1.3766
SG: No. 225
Energy relative to the elements (meV per atom): -5.5

Cell: 6.3802 6.3802 6.3802 Å, 60.00 60.00 60.00°
Fractional positions:
Ba1 0.0000 0.0000 0.0000
Ba2 0.2500 0.2500 0.2500
Ba3 0.5000 0.5000 0.5000
Cd1 0.7500 0.7500 0.7500

# 11
VASP calculation (PBE-GGA) on BaCd2 after structural relaxation.

Computed properties:
Uncorrected energy (eV/atom): -1.499
Density of states at the Fermi level (states/eV per atom): 0.4996
SG: No. 62
Energy relative to the elements (meV per atom): -248.4

Cell: 6.1754 7.1290 9.3046 Å, 90.00 90.00 90.00°
Fractional positions:
Ba1 0.2500 0.6851 0.4009
Ba2 0.7500 0.8149 0.9009
Ba3 0.2500 0.1851 0.0991
Ba4 0.7500 0.3149 0.5991
Cd1 0.2500 0.9408 0.7400
Cd2 0.7500 0.5592 0.2400
Cd3 0.2500 0.4408 0.7600
Cd4 0.7500 0.0592 0.2600
Cd5 0.2500 0.1736 0.4788
Cd6 0.7500 0.3264 0.9788
Cd7 0.2500 0.6736 0.0212
Cd8 0.7500 0.8264 0.5212

# 12
VASP calculation (PBE-GGA) on Ba3Cd2 after structural relaxation.

Computed properties:
Uncorrected energy (eV/atom): -1.778
Distance to the lowest polymorph of the same formula (eV per atom): 0.0000
Density of states at the Fermi level (states/eV per atom): 1.0194
SG: No. 123
Energy relative to the elements (meV per atom): -258.5

Cell: 4.2786 4.2786 23.7677 Å, 90.00 90.00 90.00°
Fractional positions:
Ba1 0.0000 0.0000 0.8555
Ba2 0.0000 0.0000 0.1445
Ba3 0.0000 0.0000 0.3206
Ba4 0.0000 0.0000 0.5000
Ba5 0.0000 0.0000 0.6794
Ba6 0.5000 0.5000 0.0000
Cd1 0.5000 0.5000 0.2293
Cd2 0.5000 0.5000 0.4109
Cd3 0.5000 0.5000 0.5891
Cd4 0.5000 0.5000 0.7707

# 13
VASP calculation (PBE-GGA) on Ba13Cd2 after structural relaxation.

Computed properties:
Uncorrected energy (eV/atom): -1.831
Density of states at the Fermi level (states/eV per atom): 1.5620
SG: No. 2
Energy relative to the elements (meV per atom): -42.9

Cell: 8.2903 10.2022 11.4703 Å, 116.43 89.55 100.01°
Fractional positions:
Ba1 0.7626 0.5875 0.0083
Ba2 0.2374 0.4125 0.9917
Ba3 0.0000 0.0000 0.0000
Ba4 0.1733 0.9928 0.6454
Ba5 0.8267 0.0072 0.3546
Ba6 0.0270 0.4411 0.6446
Ba7 0.9730 0.5589 0.3554
Ba8 0.4924 0.6568 0.4268
Ba9 0.5076 0.3432 0.5732
Ba10 0.4340 0.7759 0.8526
Ba11 0.5660 0.2241 0.1474
Ba12 0.7025 0.1048 0.7540
Ba13 0.2975 0.8952 0.2460
Cd1 0.8098 0.7339 0.6737
Cd2 0.1902 0.2661 0.3263